No. 1
TaCoMo2 PBE optimized geometry; calculated total energy = -9.613 eV/atom; space group = I-42d
1.0
-3.577 3.577 2.517
3.577 -3.577 2.517
3.577 3.577 -2.517
Ta Co Mo
2 2 4
Cartesian
0.000 0.000 0.000
0.000 3.577 1.258
3.577 0.000 1.258
0.000 0.000 2.517
1.789 -1.545 1.887
2.032 1.789 0.629
1.789 5.123 -0.629
1.545 1.789 3.146



No. 2
TaCo2Mo PBE optimized geometry; calculated total energy = -8.969 eV/atom; space group = R-3m
1.0
1.364 0.788 8.639
-1.364 0.788 8.639
0.000 -1.575 8.639
Ta Co Mo
1 2 1
Cartesian
0.000 0.000 0.000
0.000 0.000 6.422
0.000 0.000 19.496
0.000 0.000 12.959



No. 3
TaCoMo2 PBE optimized geometry; calculated total energy = -10.050 eV/atom; space group = P2/m
1.0
2.726 0.000 0.000
0.000 4.469 0.000
-0.895 0.000 5.033
Ta Co Mo
1 1 2
Cartesian
0.000 0.000 0.000
0.916 0.000 2.517
0.024 2.235 3.760
1.808 2.235 1.273



No. 4
Ta2CoMo PBE optimized geometry; calculated total energy = -10.379 eV/atom; space group = C2/m
1.0
2.803 -4.326 0.000
2.803 4.326 0.000
-0.959 0.000 2.617
Ta Co Mo
2 1 1
Cartesian
1.401 2.163 0.000
1.401 -2.163 0.000
-0.480 0.000 1.309
2.323 0.000 1.309



Number 1: energy of formation 543 meV/atom. Number 2: energy of formation 255 meV/atom. Number 3: energy of formation 105 meV/atom. Number 4: energy of formation 32 meV/atom.